#w
Entry from the Alexandria database: ZrAsH2 after structural relaxation (PBE).

Lattice parameters (Å, degrees): 5.7885 3.4240 5.2781 90.00 111.87 90.00
With the nearest neighbours (Å) after each atom.
Space group Cm (No. 8)
One atom of each set of equivalent atoms:
Zr: 0.0000 0.0000 0.0000  6 H 1.99-2.11
As: 0.1964 0.0000 0.5810  8 H 2.83-3.11, 4 Zr 2.83-2.85
H: 0.1935 0.5000 0.0873  3 H 1.94-2.01, 3 Zr 1.99-2.00
H: 0.3877 0.0000 0.1586  3 H 1.94-2.01, 3 Zr 2.08-2.11

Values from the calculation:
DOS(E_F): 2.05 states/eV per cell
V: 12.1 Å³/atom
total magnetic moment: 0.00 μB/f.u.



#x
Entry from the Alexandria database: ZrAsH2 after structural relaxation (PBE).

Lattice parameters (Å, degrees): 5.6368 5.6368 5.6368 90.00 90.00 90.00
With the nearest neighbours (Å) after each atom.
Space group Fm-3m (No. 225)
One atom of each set of equivalent atoms:
Zr: 0.0000 0.0000 0.0000  8 H 2.44
As: 0.0000 0.0000 0.5000  8 H 2.44
H: 0.2500 0.2500 0.2500  4 Zr 2.44, 4 As 2.44

Values from the calculation:
DOS(E_F): 10.90 states/eV per cell
V: 11.2 Å³/atom
total magnetic moment: 0.00 μB/f.u.



#y
Entry from the Alexandria database: ZrAsH2 after structural relaxation (PBE).

Lattice parameters (Å, degrees): 3.9847 3.9847 13.0702 90.00 90.00 90.00
With the nearest neighbours (Å) after each atom.
Space group I4_1/amd (No. 141, origin choice 2)
One atom of each set of equivalent atoms:
Zr: 0.0000 0.2500 0.3750  4 H 1.91
As: 0.0000 0.2500 0.8750  8 H 2.76, 4 Zr 2.82
H: 0.0000 0.0000 0.5000  2 Zr 1.91, 2 H 1.99

Values from the calculation:
DOS(E_F): 6.88 states/eV per cell
V: 13.0 Å³/atom
total magnetic moment: 0.00 μB/f.u.



#w wins, 26.6 kJ/mol of atoms ahead of the next structure.



#w
Entry from the Alexandria database: Hf3As2 after structural relaxation (PBE).

Lattice parameters (Å, degrees): 10.5281 3.6725 10.1248 90.00 90.00 90.00
With the nearest neighbours (Å) after each atom.
Space group Pnma (No. 62)
One atom of each set of equivalent atoms:
Hf: 0.0443 0.2500 0.1248  5 As 2.72-2.81
Hf: 0.1258 0.7500 0.5684  5 As 2.68-2.73
Hf: 0.2123 0.2500 0.7945  4 As 2.70-2.83
As: 0.0323 0.7500 0.3223  7 Hf 2.68-2.83
As: 0.1947 0.7500 0.9996  7 Hf 2.73-2.81

Values from the calculation:
DOS(E_F): 9.01 states/eV per cell
V: 19.6 Å³/atom
total magnetic moment: 0.00 μB/f.u.



#x
Entry from the Alexandria database: Hf3As2 after structural relaxation (PBE).

Lattice parameters (Å, degrees): 7.4234 3.6034 7.7604 90.00 92.15 90.00
With the nearest neighbours (Å) after each atom.
Space group P2_1/m (No. 11)
One atom of each set of equivalent atoms:
Hf: 0.1332 0.2500 0.1178  5 As 2.73-2.78
Hf: 0.3370 0.2500 0.5029  4 As 2.67-2.83
Hf: 0.3653 0.7500 0.8727  5 As 2.75-2.84
As: 0.1067 0.2500 0.7593  6 Hf 2.67-2.78
As: 0.3828 0.7500 0.2393  8 Hf 2.73-2.84

Values from the calculation:
DOS(E_F): 6.16 states/eV per cell
V: 20.7 Å³/atom
total magnetic moment: 0.00 μB/f.u.



#w wins, 15.1 kJ/mol of atoms ahead of the next structure.



#w
Entry from the Alexandria database: Hf2HgAs after structural relaxation (PBE).

Lattice parameters (Å, degrees): 6.8377 6.8377 6.8377 90.00 90.00 90.00
With the nearest neighbours (Å) after each atom.
Space group Fm-3m (No. 225)
One atom of each set of equivalent atoms:
Hf: 0.2500 0.2500 0.2500  4 Hg 2.96, 4 As 2.96
Hg: 0.0000 0.0000 0.0000  8 Hf 2.96
As: 0.0000 0.0000 0.5000  8 Hf 2.96

Values from the calculation:
DOS(E_F): 13.81 states/eV per cell
V: 20.0 Å³/atom
total magnetic moment: 0.00 μB/f.u.



#x
Entry from the Alexandria database: Hf2HgAs after structural relaxation (PBE).

Lattice parameters (Å, degrees): 7.4838 7.4838 6.1378 90.00 90.00 90.00
With the nearest neighbours (Å) after each atom.
Space group I-42d (No. 122)
One atom of each set of equivalent atoms:
Hf: 0.2308 0.2500 0.1250  2 As 2.66, 2 Hg 2.85
Hg: 0.0000 0.0000 0.5000  4 Hf 2.85, 2 As 3.07
As: 0.0000 0.0000 0.0000  4 Hf 2.66

Values from the calculation:
DOS(E_F): 11.51 states/eV per cell
V: 21.5 Å³/atom
total magnetic moment: 0.00 μB/f.u.



#y
Entry from the Alexandria database: Hf2HgAs after structural relaxation (PBE).

Lattice parameters (Å, degrees): 3.6544 3.6544 22.3102 90.00 90.00 120.00
With the nearest neighbours (Å) after each atom.
Space group R-3m (No. 166, hexagonal axes)
One atom of each set of equivalent atoms:
Hf: 0.0000 0.0000 0.2379  3 As 2.64
Hg: 0.0000 0.0000 0.0000  6 Hf 3.00
As: 0.0000 0.0000 0.5000  6 Hf 2.64

Values from the calculation:
DOS(E_F): 7.11 states/eV per cell
V: 21.5 Å³/atom
total magnetic moment: 0.00 μB/f.u.



#y wins, 23.3 kJ/mol of atoms ahead of the next structure.